Sc2ZnCuC: optimized geometry, PBE.

Summary:
The crystal system is tetragonal. The space-group type is P4/mmm, No. 123. The offset from the most stable computed form is 0 meV per atom.

Cell lengths 4.522, 4.522, 3.870 Å; angles 90.00, 90.00, 90.00 degrees
Fractional positions:
Sc: 0.000 0.500 0.000
Sc: 0.500 0.000 0.000
Zn: 0.000 0.000 0.500
Cu: 0.500 0.500 0.500
C: 0.500 0.500 0.000